Record 1
Density functional theory data (PBE-GGA) for a relaxed structure of Nd5SmHo4.

The formation energy comes out at 198 meV/atom. For the density, the calculation gives 7.643 g/cm3. As for the total energy: -89.785 eV for the cell shown.

Cell and atoms, written as POSCAR:
```
Nd5SmHo4
1.0
-0.604 -0.669 5.871
-6.337 -8.325 -1.600
8.409 -6.426 0.132
Nd Sm Ho
10 2 8
direct
0.163 0.839 0.839
0.163 0.161 0.839
0.000 0.500 0.000
0.163 0.839 0.161
0.163 0.161 0.161
0.837 0.661 0.339
0.837 0.339 0.339
0.000 0.000 0.500
0.837 0.339 0.661
0.837 0.661 0.661
0.662 0.000 0.000
0.338 0.500 0.500
0.631 0.000 0.701
0.631 0.701 0.000
0.631 0.299 0.000
0.631 0.000 0.299
0.369 0.500 0.201
0.369 0.799 0.500
0.369 0.201 0.500
0.369 0.500 0.799
```

=====

Record 2
Density functional theory data (PBE-GGA) for a relaxed structure of Hg2OsPb2O6.

For the density, the calculation gives 8.036 g/cm3. As for the total energy: -57.648 eV for the cell shown. The calculation puts the uncorrected formation energy at -0.786 eV/atom.

Cell and atoms, written as POSCAR:
```
Hg2OsPb2O6
1.0
-1.577 -5.662 -1.088
5.224 1.193 2.649
-3.966 0.509 6.285
Hg Os Pb O
2 1 2 6
direct
0.846 0.154 0.000
0.154 0.846 0.000
0.000 0.000 0.500
0.334 0.666 0.500
0.666 0.334 0.500
0.761 0.761 0.646
0.027 0.295 0.644
0.239 0.239 0.354
0.295 0.027 0.644
0.973 0.705 0.356
0.705 0.973 0.356
```

=====

Record 3
Density functional theory data (PBE-GGA) for a relaxed structure of YCrB2Pd.

The formation energy comes out at 2329 meV/atom. For the density, the calculation gives 4.362 g/cm3. As for the total energy: -22.989 eV for the cell shown.

Cell and atoms, written as POSCAR:
```
YCrB2Pd
1.0
-1.113 -3.827 -2.188
-0.499 -2.335 4.338
-4.385 1.196 0.139
Y Cr B Pd
1 1 2 1
direct
0.000 0.000 0.000
0.500 0.500 0.500
0.000 0.000 0.500
0.500 0.000 0.000
0.000 0.500 0.000
```

=====

What did the third record say?
Density functional theory data (PBE-GGA) for a relaxed structure of YCrB2Pd.

The formation energy comes out at 2329 meV/atom. For the density, the calculation gives 4.362 g/cm3. As for the total energy: -22.989 eV for the cell shown.

Cell and atoms, written as POSCAR:
```
YCrB2Pd
1.0
-1.113 -3.827 -2.188
-0.499 -2.335 4.338
-4.385 1.196 0.139
Y Cr B Pd
1 1 2 1
direct
0.000 0.000 0.000
0.500 0.500 0.500
0.000 0.000 0.500
0.500 0.000 0.000
0.000 0.500 0.000
```